A plane-wave DFT calculation with PBE-GGA was carried out for a geometry-optimized Sc2H2W structure.

Unit cell a=7.3474 b=7.3474 c=7.3474 alpha=156.35 beta=156.35 gamma=33.69
Sites, in units of the cell vectors:
1 Sc 0.1538 0.1538 0.0000
2 Sc 0.8462 0.8462 0.0000
3 H 0.2500 0.7500 0.5000
4 H 0.7500 0.2500 0.5000
5 W 0.5000 0.5000 0.0000

Properties
total magnetization	0.0000	μB/atom
total DFT energy (no corrections)	-6.6357	eV/atom